Density functional theory data (GGA-PBE) for crystalline Li2Mg6Zn at its relaxed geometry.

```
Li2Mg6Zn
1.0
7.264 -3.445 0.000
7.264 3.445 0.000
-1.324 0.000 4.331
Li Mg Zn
2 6 1
Direct
0.162 0.162 0.160
0.838 0.838 0.840
0.096 0.574 0.336
0.265 0.735 0.000
0.426 0.904 0.664
0.574 0.096 0.336
0.735 0.265 0.000
0.904 0.426 0.664
0.500 0.500 0.500
```

Properties
VASP energy ... -1.464 eV per atom
ρ ... 1725 kg/m3
Spin magnetization ... 0.0 μB per formula unit
Volume ... 24.08 A^3/atom
Calculated formation energy ... 0.1664 eV per atom